[1]
The following is a DFT calculation (GGA-PBE) of a geometry-optimized CaMn2NbS structure.

extended XYZ file:
```
5
Lattice="4.748 0.000 0.000 0.000 4.748 0.000 0.000 0.000 5.322" Properties=species:S:1:pos:R:3 pbc="T T T"
Ca 0.000 0.000 0.000
Mn 0.000 2.374 0.000
Mn 2.374 0.000 0.000
Nb 0.000 0.000 2.661
S 2.374 2.374 2.661
```

Values from the calculation:
Its uncorrected formation energy is 10.43 eV/f.u. Its raw total energy is -4.821 eV per atom. The crystal system is tetragonal.

[2]
The following is a DFT calculation (GGA-PBE) of a geometry-optimized Ba3NbIr structure.

extended XYZ file:
```
5
Lattice="6.047 0.000 0.000 0.000 6.047 0.000 0.000 0.000 6.047" Properties=species:S:1:pos:R:3 pbc="T T T"
Ba 0.000 0.000 3.024
Ba 0.000 3.024 0.000
Ba 3.024 0.000 0.000
Nb 3.024 3.024 3.024
Ir 0.000 0.000 0.000
```

Values from the calculation:
The value obtained for the formation energy is 0.71 eV/atom. Its raw total energy is -4.232 eV per atom. The crystal system is cubic.

[3]
The following is a DFT calculation (GGA-PBE) of a geometry-optimized PrIn4IrPd2 structure.

extended XYZ file:
```
8
Lattice="2.293 1.324 9.403 -2.293 1.324 9.403 0.000 -2.648 9.403" Properties=species:S:1:pos:R:3 pbc="T T T"
Pr 0.000 0.000 0.000
In 0.000 0.000 3.758
In 0.000 0.000 11.268
In 0.000 0.000 16.940
In 0.000 0.000 24.451
Ir 0.000 0.000 14.104
Pd 0.000 0.000 6.677
Pd 0.000 0.000 21.532
```

Values from the calculation:
The value obtained for the formation energy is -0.40 eV/atom. Its raw total energy is -4.777 eV per atom. The crystal system is trigonal.

[4]
The following is a DFT calculation (GGA-PBE) of a geometry-optimized LaSmPd structure.

extended XYZ file:
```
12
Lattice="7.291 0.000 0.000 0.000 6.162 0.000 -7.110 0.000 8.327" Properties=species:S:1:pos:R:3 pbc="T T T"
La -1.261 0.863 3.196
La -4.816 2.218 7.359
La 4.997 3.944 0.968
La 1.442 5.299 5.131
Sm -2.149 3.899 5.269
Sm 1.406 5.343 1.106
Sm -1.225 0.818 7.221
Sm 2.330 2.263 3.058
Pd -0.241 3.905 3.012
Pd -3.796 5.338 7.176
Pd 3.977 0.824 1.151
Pd 0.422 2.257 5.315
```

Values from the calculation:
The value obtained for the formation energy is -0.44 eV/atom. Its raw total energy is -5.386 eV per atom. The crystal system is monoclinic.